Model w:
# SrAs2Cl, optimized geometry, DFT PBE-GGA
data_SrAs2Cl
_chemical_formula_sum 'Sr1 As2 Cl1'
_space_group_name_H-M_alt 'P 1 2/m 1'
_space_group_IT_number 10
_cell_length_a 3.9212
_cell_length_b 6.2860
_cell_length_c 4.4670
_cell_angle_alpha 90.00
_cell_angle_beta 92.70
_cell_angle_gamma 90.00
loop_
_space_group_symop_operation_xyz
'x,y,z'
'-x,-y,-z'
'-x,y,-z'
'x,-y,z'
loop_
_atom_site_label
_atom_site_type_symbol
_atom_site_fract_x
_atom_site_fract_y
_atom_site_fract_z
Sr1 Sr 0.0000 0.0000 0.0000
As1 As 0.2369 0.5000 0.8264
Cl1 Cl 0.5000 0.0000 0.5000
# calculated volume = 110 Å³/cell

***

Model x:
# SrAs2Cl, optimized geometry, DFT PBE-GGA
data_SrAs2Cl
_chemical_formula_sum 'Sr4 As8 Cl4'
_space_group_name_H-M_alt 'F m -3 m'
_space_group_IT_number 225
_space_group_name_Hall '-F 4 2 3'
_cell_length_a 7.4194
_cell_length_b 7.4194
_cell_length_c 7.4194
_cell_angle_alpha 90.00
_cell_angle_beta 90.00
_cell_angle_gamma 90.00
loop_
_atom_site_label
_atom_site_type_symbol
_atom_site_fract_x
_atom_site_fract_y
_atom_site_fract_z
Sr1 Sr 0.0000 0.0000 0.0000
As1 As 0.2500 0.2500 0.2500
Cl1 Cl 0.0000 0.0000 0.5000
# calculated volume = 408 Å³/cell

***

Model y:
# SrAs2Cl, optimized geometry, DFT PBE-GGA
data_SrAs2Cl
_chemical_formula_sum 'Sr1 As2 Cl1'
_space_group_name_H-M_alt 'P 1 m 1'
_space_group_IT_number 6
_cell_length_a 4.0924
_cell_length_b 3.8411
_cell_length_c 7.3914
_cell_angle_alpha 90.00
_cell_angle_beta 98.05
_cell_angle_gamma 90.00
loop_
_space_group_symop_operation_xyz
'x,y,z'
'x,-y,z'
loop_
_atom_site_label
_atom_site_type_symbol
_atom_site_fract_x
_atom_site_fract_y
_atom_site_fract_z
Sr1 Sr 0.0000 0.0000 0.0000
As1 As 0.0057 0.5000 0.6490
As2 As 0.3852 0.0000 0.6292
Cl1 Cl 0.5374 0.5000 0.1404
# calculated volume = 115 Å³/cell

***

Model z:
# SrAs2Cl, optimized geometry, DFT PBE-GGA
data_SrAs2Cl
_chemical_formula_sum 'Sr1 As2 Cl1'
_space_group_name_H-M_alt 'P 4/m m m'
_space_group_IT_number 123
_space_group_name_Hall '-P 4 2'
_cell_length_a 3.9759
_cell_length_b 3.9759
_cell_length_c 6.2866
_cell_angle_alpha 90.00
_cell_angle_beta 90.00
_cell_angle_gamma 90.00
loop_
_atom_site_label
_atom_site_type_symbol
_atom_site_fract_x
_atom_site_fract_y
_atom_site_fract_z
Sr1 Sr 0.0000 0.0000 0.0000
As1 As 0.0000 0.5000 0.5000
Cl1 Cl 0.5000 0.5000 0.0000
# calculated volume = 99 Å³/cell

***

Stability, lowest: model x

***

Model w:
# SrAs2Cl, optimized geometry, DFT PBE-GGA
data_SrAs2Cl
_chemical_formula_sum 'Sr3 As6 Cl3'
_space_group_name_H-M_alt 'R -3 m'
_space_group_IT_number 166
_space_group_name_Hall '-R 3 2"'
_cell_length_a 3.5825
_cell_length_b 3.5825
_cell_length_c 27.6597
_cell_angle_alpha 90.00
_cell_angle_beta 90.00
_cell_angle_gamma 120.00
loop_
_atom_site_label
_atom_site_type_symbol
_atom_site_fract_x
_atom_site_fract_y
_atom_site_fract_z
Sr1 Sr 0.0000 0.0000 0.0000
As1 As 0.0000 0.0000 0.2434
Cl1 Cl 0.0000 0.0000 0.5000
# calculated volume = 307 Å³/cell

***

Model x:
# SrAs2Cl, optimized geometry, DFT PBE-GGA
data_SrAs2Cl
_chemical_formula_sum 'Sr2 As4 Cl2'
_space_group_name_H-M_alt 'I 4/m m m'
_space_group_IT_number 139
_space_group_name_Hall '-I 4 2'
_cell_length_a 3.9819
_cell_length_b 3.9819
_cell_length_c 12.5426
_cell_angle_alpha 90.00
_cell_angle_beta 90.00
_cell_angle_gamma 90.00
loop_
_atom_site_label
_atom_site_type_symbol
_atom_site_fract_x
_atom_site_fract_y
_atom_site_fract_z
Sr1 Sr 0.0000 0.0000 0.0000
As1 As 0.0000 0.5000 0.2500
Cl1 Cl 0.0000 0.0000 0.5000
# calculated volume = 199 Å³/cell

***

Model y:
# SrAs2Cl, optimized geometry, DFT PBE-GGA
data_SrAs2Cl
_chemical_formula_sum 'Sr1 As2 Cl1'
_space_group_name_H-M_alt 'P 4 m m'
_space_group_IT_number 99
_cell_length_a 3.6415
_cell_length_b 3.6415
_cell_length_c 8.2136
_cell_angle_alpha 90.00
_cell_angle_beta 90.00
_cell_angle_gamma 90.00
loop_
_space_group_symop_operation_xyz
'x,y,z'
'-y,x,z'
'-x,-y,z'
'y,-x,z'
'-x,y,z'
'y,x,z'
'x,-y,z'
'-y,-x,z'
loop_
_atom_site_label
_atom_site_type_symbol
_atom_site_fract_x
_atom_site_fract_y
_atom_site_fract_z
Sr1 Sr 0.0000 0.0000 0.0000
As1 As 0.0000 0.0000 0.3935
As2 As 0.5000 0.5000 0.2795
Cl1 Cl 0.5000 0.5000 0.8201
# calculated volume = 109 Å³/cell

***

Model z:
# SrAs2Cl, optimized geometry, DFT PBE-GGA
data_SrAs2Cl
_chemical_formula_sum 'Sr1 As2 Cl1'
_space_group_name_H-M_alt 'P 4/m m m'
_space_group_IT_number 123
_space_group_name_Hall '-P 4 2'
_cell_length_a 5.3791
_cell_length_b 5.3791
_cell_length_c 3.4278
_cell_angle_alpha 90.00
_cell_angle_beta 90.00
_cell_angle_gamma 90.00
loop_
_atom_site_label
_atom_site_type_symbol
_atom_site_fract_x
_atom_site_fract_y
_atom_site_fract_z
Sr1 Sr 0.0000 0.0000 0.0000
As1 As 0.0000 0.5000 0.5000
Cl1 Cl 0.5000 0.5000 0.0000
# calculated volume = 99 Å³/cell

***

Stability, lowest: model w

***

Model w:
# SrAs3Cl, optimized geometry, DFT PBE-GGA
data_SrAs3Cl
_chemical_formula_sum 'Sr1 As3 Cl1'
_space_group_name_H-M_alt 'P m -3 m'
_space_group_IT_number 221
_space_group_name_Hall '-P 4 2 3'
_cell_length_a 5.0491
_cell_length_b 5.0491
_cell_length_c 5.0491
_cell_angle_alpha 90.00
_cell_angle_beta 90.00
_cell_angle_gamma 90.00
loop_
_atom_site_label
_atom_site_type_symbol
_atom_site_fract_x
_atom_site_fract_y
_atom_site_fract_z
Sr1 Sr 0.0000 0.0000 0.0000
As1 As 0.0000 0.5000 0.5000
Cl1 Cl 0.5000 0.5000 0.5000
# calculated volume = 129 Å³/cell

***

Model x:
# SrAs3Cl, optimized geometry, DFT PBE-GGA
data_SrAs3Cl
_chemical_formula_sum 'Sr1 As3 Cl1'
_space_group_name_H-M_alt 'P m -3 m'
_space_group_IT_number 221
_space_group_name_Hall '-P 4 2 3'
_cell_length_a 5.7651
_cell_length_b 5.7651
_cell_length_c 5.7651
_cell_angle_alpha 90.00
_cell_angle_beta 90.00
_cell_angle_gamma 90.00
loop_
_atom_site_label
_atom_site_type_symbol
_atom_site_fract_x
_atom_site_fract_y
_atom_site_fract_z
Sr1 Sr 0.0000 0.0000 0.0000
As1 As 0.0000 0.0000 0.5000
Cl1 Cl 0.5000 0.5000 0.5000
# calculated volume = 192 Å³/cell

***

Stability, lowest: model x

***

Model w:
# Ta2AsCl, optimized geometry, DFT PBE-GGA
data_Ta2AsCl
_chemical_formula_sum 'Ta8 As4 Cl4'
_space_group_name_H-M_alt 'F -4 3 m'
_space_group_IT_number 216
_space_group_name_Hall 'F -4 2 3'
_cell_length_a 6.6299
_cell_length_b 6.6299
_cell_length_c 6.6299
_cell_angle_alpha 90.00
_cell_angle_beta 90.00
_cell_angle_gamma 90.00
loop_
_atom_site_label
_atom_site_type_symbol
_atom_site_fract_x
_atom_site_fract_y
_atom_site_fract_z
Ta1 Ta 0.0000 0.0000 0.0000
Ta2 Ta 0.2500 0.2500 0.2500
As1 As 0.2500 0.2500 0.7500
Cl1 Cl 0.0000 0.0000 0.5000
# calculated volume = 291 Å³/cell

***

Model x:
# Ta2AsCl, optimized geometry, DFT PBE-GGA
data_Ta2AsCl
_chemical_formula_sum 'Ta8 As4 Cl4'
_space_group_name_H-M_alt 'I -4 2 d'
_space_group_IT_number 122
_space_group_name_Hall 'I -4 2bw'
_cell_length_a 6.8930
_cell_length_b 6.8930
_cell_length_c 6.1647
_cell_angle_alpha 90.00
_cell_angle_beta 90.00
_cell_angle_gamma 90.00
loop_
_atom_site_label
_atom_site_type_symbol
_atom_site_fract_x
_atom_site_fract_y
_atom_site_fract_z
Ta1 Ta 0.2166 0.2500 0.1250
As1 As 0.0000 0.0000 0.5000
Cl1 Cl 0.0000 0.0000 0.0000
# calculated volume = 293 Å³/cell

***

Stability, lowest: model w

***

Model w:
# TcAs2Cl, optimized geometry, DFT PBE-GGA
data_TcAs2Cl
_chemical_formula_sum 'Tc2 As4 Cl2'
_space_group_name_H-M_alt 'I -4 m 2'
_space_group_IT_number 119
_space_group_name_Hall 'I -4 -2'
_cell_length_a 4.5498
_cell_length_b 4.5498
_cell_length_c 6.4190
_cell_angle_alpha 90.00
_cell_angle_beta 90.00
_cell_angle_gamma 90.00
loop_
_atom_site_label
_atom_site_type_symbol
_atom_site_fract_x
_atom_site_fract_y
_atom_site_fract_z
Tc1 Tc 0.0000 0.0000 0.0000
As1 As 0.0000 0.0000 0.5000
As2 As 0.0000 0.5000 0.7500
Cl1 Cl 0.0000 0.5000 0.2500
# calculated volume = 133 Å³/cell

***

Model x:
# TcAs2Cl, optimized geometry, DFT PBE-GGA
data_TcAs2Cl
_chemical_formula_sum 'Tc1 As2 Cl1'
_space_group_name_H-M_alt 'P 1 2/m 1'
_space_group_IT_number 10
_cell_length_a 3.1605
_cell_length_b 3.1287
_cell_length_c 7.5886
_cell_angle_alpha 90.00
_cell_angle_beta 99.94
_cell_angle_gamma 90.00
loop_
_space_group_symop_operation_xyz
'x,y,z'
'-x,-y,-z'
'-x,y,-z'
'x,-y,z'
loop_
_atom_site_label
_atom_site_type_symbol
_atom_site_fract_x
_atom_site_fract_y
_atom_site_fract_z
Tc1 Tc 0.0000 0.0000 0.0000
As1 As 0.4202 0.5000 0.8060
Cl1 Cl 0.5000 0.0000 0.5000
# calculated volume = 74 Å³/cell

***

Model y:
# TcAs2Cl, optimized geometry, DFT PBE-GGA
data_TcAs2Cl
_chemical_formula_sum 'Tc4 As8 Cl4'
_space_group_name_H-M_alt 'F m -3 m'
_space_group_IT_number 225
_space_group_name_Hall '-F 4 2 3'
_cell_length_a 6.5494
_cell_length_b 6.5494
_cell_length_c 6.5494
_cell_angle_alpha 90.00
_cell_angle_beta 90.00
_cell_angle_gamma 90.00
loop_
_atom_site_label
_atom_site_type_symbol
_atom_site_fract_x
_atom_site_fract_y
_atom_site_fract_z
Tc1 Tc 0.0000 0.0000 0.0000
As1 As 0.2500 0.2500 0.2500
Cl1 Cl 0.0000 0.0000 0.5000
# calculated volume = 281 Å³/cell

***

Model z:
# TcAs2Cl, optimized geometry, DFT PBE-GGA
data_TcAs2Cl
_chemical_formula_sum 'Tc1 As2 Cl1'
_space_group_name_H-M_alt 'P 4/m m m'
_space_group_IT_number 123
_space_group_name_Hall '-P 4 2'
_cell_length_a 3.7566
_cell_length_b 3.7566
_cell_length_c 5.0832
_cell_angle_alpha 90.00
_cell_angle_beta 90.00
_cell_angle_gamma 90.00
loop_
_atom_site_label
_atom_site_type_symbol
_atom_site_fract_x
_atom_site_fract_y
_atom_site_fract_z
Tc1 Tc 0.0000 0.0000 0.0000
As1 As 0.0000 0.5000 0.5000
Cl1 Cl 0.5000 0.5000 0.0000
# calculated volume = 72 Å³/cell

***

Stability, lowest: model z